(A)
First-principles (meta-GGA SCAN) data for a PBEsol-optimized structure of TeAsSe, as listed in the Alexandria database.

Unit cell a=3.2015 b=3.2015 c=7.4955 alpha=97.90 beta=97.90 gamma=110.89
Closest atoms and distances in Å follow each position.
Fractional coordinates of all 3 atoms:
Te1 0.3447 0.3447 0.6893  2 As 3.09, 4 Te 3.20
As1 0.0163 0.0163 0.0326  2 Se 2.55
Se1 0.6390 0.6390 0.2780  2 As 2.55

## Properties
**Total moment**: 0.00 μB per cell

(B)
First-principles (meta-GGA SCAN) data for a PBEsol-optimized structure of TeAsSe, as listed in the Alexandria database.

Unit cell a=3.9546 b=3.9561 c=5.5997 alpha=110.69 beta=110.68 gamma=90.00
Closest atoms and distances in Å follow each position.
Fractional coordinates of all 3 atoms:
Se1 0.6913 0.6913 0.3827  1 As 2.43
Te1 0.3664 0.3664 0.7329  4 As 2.89, 1 Se 3.15
As1 0.9422 0.9422 0.8844  1 Se 2.43

## Properties
**Total moment**: 0.00 μB per cell

(C)
First-principles (meta-GGA SCAN) data for a PBEsol-optimized structure of TeAsSe, as listed in the Alexandria database.

Unit cell a=4.7614 b=4.7614 c=4.7614 alpha=60.00 beta=60.00 gamma=60.00
Closest atoms and distances in Å follow each position.
Fractional coordinates of all 3 atoms:
Se1 0.0000 0.0000 0.0000  4 As 2.92
As1 0.2500 0.2500 0.2500  4 Se 2.92, 4 Te 2.92
Te1 0.5000 0.5000 0.5000  4 As 2.92

## Properties
**Total moment**: 0.00 μB per cell

Each structure's energy above the most stable one, in meV per atom: (A) 61; (B) 0; (C) 76.

(A)
First-principles (meta-GGA SCAN) data for a PBEsol-optimized structure of TeAs2Se, as listed in the Alexandria database.

Unit cell a=3.9895 b=5.0188 c=5.6527 alpha=125.87 beta=90.00 gamma=90.00
Closest atoms and distances in Å follow each position.
Fractional coordinates of all 4 atoms:
As1 0.5000 0.4910 0.2456  2 As 2.75, 2 Se 2.76, 2 Te 2.81-2.84
Se1 0.0000 0.9602 0.4842  4 As 2.76-2.88, 2 Te 3.04
Te1 0.5000 0.5241 0.7602  4 As 2.81-2.85, 2 Se 3.04
As2 0.0000 0.0247 0.0100  2 As 2.75, 2 Se 2.79-2.88, 2 Te 2.85

## Properties
**Total moment**: 0.00 μB per cell

(B)
First-principles (meta-GGA SCAN) data for a PBEsol-optimized structure of TeAs2Se, as listed in the Alexandria database.

Unit cell a=4.0297 b=4.8495 c=5.0738 alpha=108.80 beta=90.00 gamma=90.00
Closest atoms and distances in Å follow each position.
Fractional coordinates of all 4 atoms:
As1 0.0000 0.2725 0.2894  1 As 2.53, 2 Se 2.80
Te1 0.5000 0.5000 0.0000  2 Se 2.89, 4 As 2.91
As2 0.0000 0.7275 0.7106  1 As 2.53, 2 Se 2.80
Se1 0.5000 0.0000 0.5000  4 As 2.80, 2 Te 2.89

## Properties
**Total moment**: 0.00 μB per cell

Each structure's energy above the most stable one, in meV per atom: (A) 7; (B) 0.

(A)
First-principles (meta-GGA SCAN) data for a PBEsol-optimized structure of AsW2Se, as listed in the Alexandria database.

Unit cell a=3.1113 b=3.1113 c=6.2162 alpha=90.00 beta=90.00 gamma=90.00
Closest atoms and distances in Å follow each position.
Fractional coordinates of all 4 atoms:
W1 0.0000 0.0000 0.7614  4 As 2.65, 4 Se 2.74, 1 W 2.97
As1 0.5000 0.5000 0.0000  8 W 2.65
W2 0.0000 0.0000 0.2386  4 As 2.65, 4 Se 2.74, 1 W 2.97
Se1 0.5000 0.5000 0.5000  8 W 2.74

## Properties
**Total moment**: 0.00 μB per cell

(B)
First-principles (meta-GGA SCAN) data for a PBEsol-optimized structure of AsW2Se, as listed in the Alexandria database.

Unit cell a=3.3385 b=5.0333 c=5.0333 alpha=114.74 beta=106.18 gamma=106.18
Closest atoms and distances in Å follow each position.
Fractional coordinates of all 4 atoms:
W1 0.0000 0.5000 0.0000  2 As 2.60, 2 Se 2.60, 2 W 2.71
As1 0.5000 0.5000 0.5000  4 W 2.60, 2 Se 2.71
Se1 0.5000 0.0000 0.0000  4 W 2.60, 2 As 2.71
W2 0.0000 0.0000 0.5000  2 Se 2.60, 2 As 2.60, 2 W 2.71

## Properties
**Total moment**: 0.00 μB per cell

Each structure's energy above the most stable one, in meV per atom: (A) 0; (B) 372.

(A)
First-principles (meta-GGA SCAN) data for a PBEsol-optimized structure of Si3As, as listed in the Alexandria database.

Unit cell a=2.7574 b=2.7574 c=9.4027 alpha=90.00 beta=90.00 gamma=120.00
Closest atoms and distances in Å follow each position.
Fractional coordinates of all 4 atoms:
Si1 0.3333 0.6667 0.2684  9 Si 2.70-2.76, 3 As 2.98
Si2 0.3333 0.6667 0.7316  9 Si 2.70-2.76, 3 As 2.98
Si3 0.0000 0.0000 0.5000  12 Si 2.70-2.76
As1 0.0000 0.0000 0.0000  6 As 2.76, 6 Si 2.98

## Properties
**Total moment**: 0.00 μB per cell

(B)
First-principles (meta-GGA SCAN) data for a PBEsol-optimized structure of Si3As, as listed in the Alexandria database.

Unit cell a=4.4825 b=4.4217 c=4.4825 alpha=120.46 beta=90.00 gamma=120.46
Closest atoms and distances in Å follow each position.
Fractional coordinates of all 4 atoms:
Si1 0.7500 0.5000 0.2500  4 Si 2.72, 4 As 2.72
As1 0.0000 0.0000 0.0000  8 Si 2.72
Si2 0.2500 0.5000 0.7500  4 Si 2.72, 4 As 2.72
Si3 0.5000 0.0000 0.5000  8 Si 2.72

## Properties
**Total moment**: 0.00 μB per cell

Each structure's energy above the most stable one, in meV per atom: (A) 0; (B) 29.

(A)
First-principles (meta-GGA SCAN) data for a PBEsol-optimized structure of Si2TeAs, as listed in the Alexandria database.

Unit cell a=3.8972 b=3.8972 c=5.8934 alpha=109.31 beta=109.31 gamma=90.00
Closest atoms and distances in Å follow each position.
Fractional coordinates of all 4 atoms:
Si1 0.7500 0.2500 0.5000  4 As 2.76
Si2 0.0000 0.0000 0.0000  4 Te 2.76
Te1 0.5000 0.5000 0.0000  4 Si 2.76
As1 0.2500 0.7500 0.5000  4 Si 2.76

## Properties
**Total moment**: 0.00 μB per cell

(B)
First-principles (meta-GGA SCAN) data for a PBEsol-optimized structure of Si2TeAs, as listed in the Alexandria database.

Unit cell a=3.3587 b=4.6694 c=5.7202 alpha=114.09 beta=107.07 gamma=90.00
Closest atoms and distances in Å follow each position.
Fractional coordinates of all 4 atoms:
Si1 0.9960 0.9960 0.9919  2 As 2.59, 2 Si 2.62, 4 Te 2.88
Te1 0.5087 0.5087 0.0174  6 Si 2.88-3.00, 2 As 3.14
As1 0.2961 0.7961 0.5921  2 Si 2.59
Si2 0.6992 0.1992 0.3985  2 Si 2.62

## Properties
**Total moment**: 0.00 μB per cell

Each structure's energy above the most stable one, in meV per atom: (A) 156; (B) 0.

(A)
First-principles (meta-GGA SCAN) data for a PBEsol-optimized structure of TlSiAs2, as listed in the Alexandria database.

Unit cell a=3.5628 b=3.5628 c=6.7980 alpha=90.00 beta=90.00 gamma=90.00
Closest atoms and distances in Å follow each position.
Fractional coordinates of all 4 atoms:
Tl1 0.5000 0.5000 0.7586  6 As 3.23-3.50, 4 Si 3.45, 4 Tl 3.56
Si1 0.0000 0.0000 0.4124  5 As 2.42-2.69
As1 0.5000 0.5000 0.2732  4 Si 2.69, 4 As 2.92
As2 0.0000 0.0000 0.0558  1 Si 2.42

## Properties
**Total moment**: 0.00 μB per cell

(B)
First-principles (meta-GGA SCAN) data for a PBEsol-optimized structure of TlSiAs2, as listed in the Alexandria database.

Unit cell a=3.5728 b=4.8691 c=5.4277 alpha=114.30 beta=90.00 gamma=90.00
Closest atoms and distances in Å follow each position.
Fractional coordinates of all 4 atoms:
Si1 0.5000 0.0000 0.5000  4 As 2.53, 2 Tl 2.80
As1 0.0000 0.7583 0.6750  1 As 2.45, 2 Si 2.53
As2 0.0000 0.2417 0.3250  1 As 2.45, 2 Si 2.53
Tl1 0.5000 0.5000 0.0000  2 Si 2.80, 4 As 3.12

## Properties
**Total moment**: 0.00 μB per cell

Each structure's energy above the most stable one, in meV per atom: (A) 185; (B) 0.

(A)
First-principles (meta-GGA SCAN) data for a PBEsol-optimized structure of TlSiAs2, as listed in the Alexandria database.

Unit cell a=3.3219 b=3.3219 c=7.4304 alpha=90.00 beta=90.00 gamma=90.00
Closest atoms and distances in Å follow each position.
Fractional coordinates of all 4 atoms:
As1 0.0000 0.0000 0.1813  1 As 2.69, 4 Si 2.71
Si1 0.5000 0.5000 0.0000  8 As 2.71
Tl1 0.5000 0.5000 0.5000  4 Tl 3.32, 8 As 3.34, 2 Si 3.72
As2 0.0000 0.0000 0.8187  1 As 2.69, 4 Si 2.71

## Properties
**Total moment**: 0.00 μB per cell

(B)
First-principles (meta-GGA SCAN) data for a PBEsol-optimized structure of TlSiAs2, as listed in the Alexandria database.

Unit cell a=3.4238 b=5.1858 c=5.5725 alpha=117.73 beta=107.89 gamma=90.00
Closest atoms and distances in Å follow each position.
Fractional coordinates of all 4 atoms:
As1 0.0345 0.0345 0.0690  2 As 2.66
Si1 0.4659 0.4659 0.9317  2 As 2.60
Tl1 0.2451 0.7451 0.4901  4 Si 3.10-3.30, 8 As 3.11-3.24, 2 Tl 3.42
As2 0.7546 0.2546 0.5091  2 Si 2.60, 2 As 2.66

## Properties
**Total moment**: 0.00 μB per cell

Each structure's energy above the most stable one, in meV per atom: (A) 0; (B) 176.

(A)
First-principles (meta-GGA SCAN) data for a PBEsol-optimized structure of Tl2SiAs, as listed in the Alexandria database.

Unit cell a=3.4508 b=3.4508 c=7.8362 alpha=90.00 beta=90.00 gamma=90.00
Closest atoms and distances in Å follow each position.
Fractional coordinates of all 4 atoms:
As1 0.0000 0.0000 0.5694  4 Si 2.61
Tl1 0.0000 0.0000 0.9603  1 As 3.06, 4 Si 3.25
Tl2 0.5000 0.5000 0.2843  1 Si 3.15, 4 As 3.31, 8 Tl 3.45-3.52
Si1 0.5000 0.5000 0.6859  4 As 2.61

## Properties
**Total moment**: 0.00 μB per cell

(B)
First-principles (meta-GGA SCAN) data for a PBEsol-optimized structure of Tl2SiAs, as listed in the Alexandria database.

Unit cell a=5.0386 b=5.0386 c=5.0386 alpha=60.00 beta=60.00 gamma=60.00
Closest atoms and distances in Å follow each position.
Fractional coordinates of all 4 atoms:
Si1 0.5000 0.5000 0.5000  8 Tl 3.09
Tl1 0.7500 0.7500 0.7500  4 As 3.09, 4 Si 3.09
Tl2 0.2500 0.2500 0.2500  4 As 3.09, 4 Si 3.09
As1 0.0000 0.0000 0.0000  8 Tl 3.09

## Properties
**Total moment**: 0.00 μB per cell

Each structure's energy above the most stable one, in meV per atom: (A) 0; (B) 386.